Arrangement 1

Below is a relaxed structure of AgAuIN2, with properties calculated at the PBE level.

Summary:
Crystal system: tetragonal

abc: 4.0553 4.0553 8.5398
angles: 90.00 90.00 90.00
Positions (direct):
Ag1 0.0000 0.0000 0.0000
Au1 0.5000 0.5000 0.5000
I1 0.5000 0.5000 0.0000
N1 0.0000 0.5000 0.5000
N2 0.5000 0.0000 0.5000


Arrangement 2

Below is a relaxed structure of AgAuIN2, with properties calculated at the PBE level.

Summary:
Crystal system: tetragonal

abc: 4.0961 4.0961 7.7341
angles: 90.00 90.00 90.00
Positions (direct):
Ag1 0.0000 0.0000 0.0000
Au1 0.5000 0.5000 0.5000
I1 0.0000 0.0000 0.5000
N1 0.0000 0.5000 0.0000
N2 0.5000 0.0000 0.0000


Energies in eV/atom, measured from the most stable structure: arrangement 1 0.000; arrangement 2 0.229.


Arrangement 1

Below is a relaxed structure of AgAuI2O, with properties calculated at the PBE level.

Summary:
Crystal system: tetragonal

abc: 5.7141 5.7141 3.9930
angles: 90.00 90.00 90.00
Positions (direct):
Ag1 0.0000 0.0000 0.0000
Au1 0.5000 0.5000 0.5000
I1 0.0000 0.5000 0.0000
I2 0.5000 0.0000 0.0000
O1 0.0000 0.0000 0.5000


Arrangement 2

Below is a relaxed structure of AgAuI2O, with properties calculated at the PBE level.

Summary:
Crystal system: tetragonal

abc: 5.7828 5.7828 3.9816
angles: 90.00 90.00 90.00
Positions (direct):
Ag1 0.0000 0.0000 0.0000
Au1 0.5000 0.5000 0.5000
I1 0.0000 0.5000 0.5000
I2 0.5000 0.0000 0.5000
O1 0.5000 0.5000 0.0000


Energies in eV/atom, measured from the most stable structure: arrangement 1 0.238; arrangement 2 0.000.


Arrangement 1

Below is a relaxed structure of AgTeAuI2, with properties calculated at the PBE level.

Summary:
Crystal system: tetragonal

abc: 5.5809 5.5809 5.5845
angles: 90.00 90.00 90.00
Positions (direct):
Ag1 0.0000 0.0000 0.0000
Te1 0.0000 0.0000 0.5000
Au1 0.5000 0.5000 0.5000
I1 0.0000 0.5000 0.0000
I2 0.5000 0.0000 0.0000


Arrangement 2

Below is a relaxed structure of AgTeAuI2, with properties calculated at the PBE level.

Summary:
Crystal system: tetragonal

abc: 5.6331 5.6331 5.5790
angles: 90.00 90.00 90.00
Positions (direct):
Ag1 0.0000 0.0000 0.0000
Te1 0.5000 0.5000 0.0000
Au1 0.5000 0.5000 0.5000
I1 0.0000 0.5000 0.5000
I2 0.5000 0.0000 0.5000


Energies in eV/atom, measured from the most stable structure: arrangement 1 0.208; arrangement 2 0.000.


Arrangement 1

Below is a relaxed structure of AgTe2AuI, with properties calculated at the PBE level.

Summary:
Crystal system: tetragonal

abc: 5.4900 5.4900 5.6646
angles: 90.00 90.00 90.00
Positions (direct):
Ag1 0.0000 0.0000 0.0000
Te1 0.0000 0.5000 0.5000
Te2 0.5000 0.0000 0.5000
Au1 0.5000 0.5000 0.5000
I1 0.5000 0.5000 0.0000


Arrangement 2

Below is a relaxed structure of AgTe2AuI, with properties calculated at the PBE level.

Summary:
Crystal system: tetragonal

abc: 5.4706 5.4706 5.5369
angles: 90.00 90.00 90.00
Positions (direct):
Ag1 0.0000 0.0000 0.0000
Te1 0.0000 0.5000 0.0000
Te2 0.5000 0.0000 0.0000
Au1 0.5000 0.5000 0.5000
I1 0.0000 0.0000 0.5000


Energies in eV/atom, measured from the most stable structure: arrangement 1 0.000; arrangement 2 0.206.


Arrangement 1

Below is a relaxed structure of InAg2Au5, with properties calculated at the PBE level.

Summary:
Crystal system: orthorhombic

abc: 9.7112 10.1818 5.9686
angles: 90.00 90.00 90.00
Positions (direct):
In1 0.2449 0.0828 0.0000
In2 0.2551 0.5828 0.0000
In3 0.7449 0.4172 0.0000
In4 0.7551 0.9172 0.0000
Ag1 0.0000 0.5000 0.2535
Ag2 0.0000 0.5000 0.7465
Ag3 0.2493 0.0835 0.5000
Ag4 0.2507 0.5835 0.5000
Ag5 0.5000 0.0000 0.2535
Ag6 0.5000 0.0000 0.7465
Ag7 0.7493 0.4165 0.5000
Ag8 0.7507 0.9165 0.5000
Au1 0.0000 0.0000 0.2525
Au2 0.0000 0.0000 0.7475
Au3 0.0023 0.7489 0.5000
Au4 0.0049 0.7463 0.0000
Au5 0.2471 0.3343 0.2532
Au6 0.2471 0.3343 0.7468
Au7 0.2529 0.8343 0.2532
Au8 0.2529 0.8343 0.7468
Au9 0.4951 0.2463 0.0000
Au10 0.4977 0.2489 0.5000
Au11 0.5000 0.5000 0.2525
Au12 0.5000 0.5000 0.7475
Au13 0.5023 0.7511 0.5000
Au14 0.5049 0.7537 0.0000
Au15 0.7471 0.1657 0.2532
Au16 0.7471 0.1657 0.7468
Au17 0.7529 0.6657 0.2532
Au18 0.7529 0.6657 0.7468
Au19 0.9951 0.2537 0.0000
Au20 0.9977 0.2511 0.5000


Arrangement 2

Below is a relaxed structure of InAg2Au5, with properties calculated at the PBE level.

Summary:
Crystal system: tetragonal

abc: 6.3080 6.3080 5.0353
angles: 90.00 90.00 90.00
Positions (direct):
In1 0.0000 0.0000 0.0000
Ag1 0.0000 0.5000 0.5000
Ag2 0.5000 0.0000 0.5000
Au1 0.0000 0.0000 0.5000
Au2 0.2906 0.2906 0.0000
Au3 0.2906 0.7094 0.0000
Au4 0.7094 0.2906 0.0000
Au5 0.7094 0.7094 0.0000


Energies in eV/atom, measured from the most stable structure: arrangement 1 0.000; arrangement 2 0.495.


Arrangement 1

Below is a relaxed structure of InAg3Au2, with properties calculated at the PBE level.

Summary:
Crystal system: monoclinic

abc: 5.6121 5.6121 7.2859
angles: 96.71 96.71 93.48
Positions (direct):
In1 0.0783 0.9217 0.7500
In2 0.9217 0.0783 0.2500
Ag1 0.1756 0.3409 0.0011
Ag2 0.3409 0.1756 0.5011
Ag3 0.4164 0.5836 0.7500
Ag4 0.5836 0.4164 0.2500
Ag5 0.6591 0.8244 0.4989
Ag6 0.8244 0.6591 0.9989
Au1 0.1255 0.6262 0.3758
Au2 0.3738 0.8745 0.1242
Au3 0.6262 0.1255 0.8758
Au4 0.8745 0.3738 0.6242


Arrangement 2

Below is a relaxed structure of InAg3Au2, with properties calculated at the PBE level.

Summary:
Crystal system: orthorhombic

abc: 7.8253 7.8253 5.4343
angles: 90.00 90.00 135.77
Positions (direct):
In1 0.1467 0.8533 0.7500
In2 0.8533 0.1467 0.2500
Ag1 0.0735 0.4324 0.7500
Ag2 0.3488 0.6512 0.2500
Ag3 0.4324 0.0735 0.2500
Ag4 0.5676 0.9265 0.7500
Ag5 0.6512 0.3488 0.7500
Ag6 0.9265 0.5676 0.2500
Au1 0.2542 0.2542 0.0000
Au2 0.2542 0.2542 0.5000
Au3 0.7458 0.7458 0.0000
Au4 0.7458 0.7458 0.5000


Energies in eV/atom, measured from the most stable structure: arrangement 1 0.000; arrangement 2 0.006.


Arrangement 1

Below is a relaxed structure of InAg2Au8, with properties calculated at the PBE level.

Summary:
Crystal system: monoclinic

abc: 7.6559 7.6559 5.3679
angles: 109.84 109.84 116.43
Positions (direct):
In1 0.0000 0.0000 0.0000
Ag1 0.3066 0.6934 0.5000
Ag2 0.6934 0.3066 0.5000
Au1 0.0946 0.3236 0.6005
Au2 0.2207 0.7793 0.0000
Au3 0.3236 0.0946 0.6005
Au4 0.4087 0.4087 0.1731
Au5 0.5913 0.5913 0.8269
Au6 0.6764 0.9054 0.3995
Au7 0.7793 0.2207 0.0000
Au8 0.9054 0.6764 0.3995


Arrangement 2

Below is a relaxed structure of InAg2Au8, with properties calculated at the PBE level.

Summary:
Crystal system: monoclinic

abc: 7.7196 7.7196 5.0609
angles: 92.55 92.55 44.86
Positions (direct):
In1 0.0000 0.0000 0.0000
Ag1 0.3408 0.3408 0.6810
Ag2 0.6592 0.6592 0.3190
Au1 0.0867 0.5807 0.1719
Au2 0.1678 0.1678 0.3299
Au3 0.2576 0.7424 0.5000
Au4 0.4193 0.9133 0.8281
Au5 0.5807 0.0867 0.1719
Au6 0.7424 0.2576 0.5000
Au7 0.8322 0.8322 0.6701
Au8 0.9133 0.4193 0.8281


Energies in eV/atom, measured from the most stable structure: arrangement 1 0.044; arrangement 2 0.000.


Arrangement 1

Below is a relaxed structure of In2Ag6Au, with properties calculated at the PBE level.

Summary:
Crystal system: monoclinic

abc: 6.1855 6.1855 5.0344
angles: 100.56 100.56 76.09
Positions (direct):
In1 0.1972 0.1972 0.3384
In2 0.8028 0.8028 0.6616
Ag1 0.1026 0.7333 0.2112
Ag2 0.2667 0.8974 0.7888
Ag3 0.3495 0.3495 0.9055
Ag4 0.6505 0.6505 0.0945
Ag5 0.7333 0.1026 0.2112
Ag6 0.8974 0.2667 0.7888
Au1 0.5000 0.5000 0.5000


Arrangement 2

Below is a relaxed structure of In2Ag6Au, with properties calculated at the PBE level.

Summary:
Crystal system: monoclinic

abc: 5.2082 5.2082 9.0778
angles: 108.28 108.28 47.18
Positions (direct):
In1 0.1616 0.1616 0.2228
In2 0.8384 0.8384 0.7772
Ag1 0.1660 0.1660 0.5514
Ag2 0.1699 0.1699 0.8885
Ag3 0.4928 0.4928 0.3343
Ag4 0.5072 0.5072 0.6657
Ag5 0.8301 0.8301 0.1115
Ag6 0.8340 0.8340 0.4486
Au1 0.5000 0.5000 0.0000


Energies in eV/atom, measured from the most stable structure: arrangement 1 0.074; arrangement 2 0.000.


Arrangement 1

Below is a relaxed structure of In2Ag3Au3, with properties calculated at the PBE level.

Summary:
Crystal system: orthorhombic

abc: 5.5247 5.5247 13.7152
angles: 90.00 90.00 129.80
Positions (direct):
In1 0.2424 0.7576 0.6100
In2 0.2424 0.7576 0.8900
In3 0.7576 0.2424 0.1100
In4 0.7576 0.2424 0.3900
Ag1 0.0666 0.9334 0.0949
Ag2 0.0666 0.9334 0.4051
Ag3 0.2582 0.7418 0.2500
Ag4 0.7418 0.2582 0.7500
Ag5 0.9334 0.0666 0.5949
Ag6 0.9334 0.0666 0.9051
Au1 0.3976 0.6024 0.0694
Au2 0.3976 0.6024 0.4306
Au3 0.4466 0.5534 0.7500
Au4 0.5534 0.4466 0.2500
Au5 0.6024 0.3976 0.5694
Au6 0.6024 0.3976 0.9306


Arrangement 2

Below is a relaxed structure of In2Ag3Au3, with properties calculated at the PBE level.

Summary:
Crystal system: orthorhombic

abc: 4.2885 4.2992 8.2108
angles: 90.00 90.00 90.00
Positions (direct):
In1 0.0000 0.0000 0.2483
In2 0.0000 0.0000 0.7517
Ag1 0.0000 0.5000 0.5000
Ag2 0.5000 0.5000 0.2514
Ag3 0.5000 0.5000 0.7486
Au1 0.0000 0.5000 0.0000
Au2 0.5000 0.0000 0.0000
Au3 0.5000 0.0000 0.5000


Energies in eV/atom, measured from the most stable structure: arrangement 1 0.027; arrangement 2 0.000.


Arrangement 1

Below is a relaxed structure of InAg4Au8, with properties calculated at the PBE level.

Summary:
Crystal system: cubic

abc: 7.4365 7.4365 7.4365
angles: 60.00 60.00 60.00
Positions (direct):
In1 0.0000 0.0000 0.0000
Ag1 0.2101 0.5966 0.5966
Ag2 0.5966 0.2101 0.5966
Ag3 0.5966 0.5966 0.2101
Ag4 0.5966 0.5966 0.5966
Au1 0.3436 0.3436 0.3436
Au2 0.3436 0.3436 0.9693
Au3 0.3436 0.9693 0.3436
Au4 0.4474 0.8509 0.8509
Au5 0.8509 0.4474 0.8509
Au6 0.8509 0.8509 0.4474
Au7 0.8509 0.8509 0.8509
Au8 0.9693 0.3436 0.3436


Arrangement 2

Below is a relaxed structure of InAg4Au8, with properties calculated at the PBE level.

Summary:
Crystal system: orthorhombic

abc: 2.9577 4.7306 17.8274
angles: 90.00 90.00 90.00
Positions (direct):
In1 0.0000 0.0000 0.0000
Ag1 0.0000 0.0000 0.2757
Ag2 0.0000 0.5000 0.4656
Ag3 0.5000 0.0000 0.7043
Ag4 0.5000 0.5000 0.9063
Au1 0.0000 0.0000 0.5610
Au2 0.0000 0.0000 0.8464
Au3 0.0000 0.5000 0.1765
Au4 0.0000 0.5000 0.7561
Au5 0.5000 0.0000 0.1340
Au6 0.5000 0.0000 0.4179
Au7 0.5000 0.5000 0.3223
Au8 0.5000 0.5000 0.6104


Energies in eV/atom, measured from the most stable structure: arrangement 1 0.211; arrangement 2 0.000.


Arrangement 1

Below is a relaxed structure of In2Ag5Au4, with properties calculated at the PBE level.

Summary:
Crystal system: monoclinic

abc: 7.6559 2.9637 9.5026
angles: 90.00 95.75 90.00
Positions (direct):
In1 0.0886 0.0000 0.1582
In2 0.9114 0.0000 0.8418
Ag1 0.1970 0.0000 0.6644
Ag2 0.4656 0.0000 0.1736
Ag3 0.5000 0.0000 0.5000
Ag4 0.5344 0.0000 0.8264
Ag5 0.8030 0.0000 0.3356
Au1 0.1829 0.5000 0.4079
Au2 0.2509 0.5000 0.9362
Au3 0.7491 0.5000 0.0638
Au4 0.8171 0.5000 0.5921


Arrangement 2

Below is a relaxed structure of In2Ag5Au4, with properties calculated at the PBE level.

Summary:
Crystal system: monoclinic

abc: 5.9569 5.9569 8.7162
angles: 118.81 118.81 57.93
Positions (direct):
In1 0.2300 0.2300 0.3092
In2 0.7700 0.7700 0.6908
Ag1 0.2509 0.7395 0.3194
Ag2 0.2605 0.7491 0.6806
Ag3 0.5000 0.5000 0.0000
Ag4 0.7395 0.2509 0.3194
Ag5 0.7491 0.2605 0.6806
Au1 0.2323 0.2323 0.9950
Au2 0.2351 0.2351 0.6478
Au3 0.7649 0.7649 0.3522
Au4 0.7677 0.7677 0.0050


Energies in eV/atom, measured from the most stable structure: arrangement 1 0.030; arrangement 2 0.000.